Below is an optimized crystal structure of KMgCo2Os, with properties calculated at the GGA-PBE level.

Summary:
The value obtained for the total energy is -17.115 eV per cell. Its total magnetization is 4.8 Bohr magnetons per cell. Its formation energy is 2.204 eV per atom. The value obtained for the density of states at the Fermi level is 6.2 states/eV per cell. The crystal system is tetragonal.

Cell lengths 4.5545, 4.5545, 4.8091 Å; angles 90.00, 90.00, 90.00 degrees
With the nearest neighbours (Å) after each atom.
Space group P4/mmm (No. 123)
Unique sites:
K1 0.0000 0.0000 0.0000  2 Mg 2.40
Mg1 0.0000 0.0000 0.5000  4 Co 2.28, 2 K 2.40
Co1 0.0000 0.5000 0.5000  2 Mg 2.28
Os1 0.5000 0.5000 0.0000  4 K 3.22, 8 Co 3.31

Below is an optimized crystal structure of DyHo3Sb2C, with properties calculated at the GGA-PBE level.

Summary:
The value obtained for the total energy is -82.389 eV per cell. Its total magnetization is 0.0 Bohr magnetons per cell. The value obtained for the density of states at the Fermi level is 11.1 states/eV per cell. The crystal system is orthorhombic. The calculation puts the energy relative to the elements, uncorrected at -770 meV/atom.

Cell lengths 4.7677, 4.7885, 15.6673 Å; angles 90.00, 90.00, 90.00 degrees
With the nearest neighbours (Å) after each atom.
Space group Immm (No. 71)
Unique sites:
Dy1 0.0000 0.0000 0.0000  2 C 2.39
Ho1 0.0000 0.0000 0.5000  2 C 2.38
Ho2 0.0000 0.5000 0.1567  1 C 2.46
Sb1 0.0000 0.5000 0.3574  7 Ho 3.14-3.39, 2 Dy 3.27
C1 0.0000 0.5000 0.0000  4 Ho 2.38-2.46, 2 Dy 2.39

Below is an optimized crystal structure of AlPtRh2, with properties calculated at the GGA-PBE level.

Summary:
The value obtained for the total energy is -53.173 eV per cell. Its total magnetization is 0.0 Bohr magnetons per cell. Its formation energy is -0.525 eV per atom. The value obtained for the density of states at the Fermi level is 6.4 states/eV per cell. The crystal system is monoclinic.

Cell lengths 9.1670, 2.7888, 4.6506 Å; angles 90.00, 104.08, 90.00 degrees
With the nearest neighbours (Å) after each atom.
Space group C2/m (No. 12)
Unique sites:
Al1 0.0000 0.0000 0.0000  4 Rh 2.59, 4 Pt 2.71, 2 Al 2.79
Pt1 0.0000 0.5000 0.5000  4 Al 2.71, 6 Rh 2.72-2.80, 2 Pt 2.79
Rh1 0.2357 0.5000 0.2417  2 Al 2.59, 6 Rh 2.71-2.79, 3 Pt 2.72-2.80

Below is an optimized crystal structure of PrNd2Ir, with properties calculated at the GGA-PBE level.

Summary:
The value obtained for the total energy is -24.231 eV per cell. Its total magnetization is 0.0 Bohr magnetons per cell. Its formation energy is -0.264 eV per atom. The value obtained for the density of states at the Fermi level is 5.1 states/eV per cell. The crystal system is tetragonal. Its energy above the most stable polymorph in this dataset is 175 meV/atom.

Cell lengths 3.6217, 3.6217, 9.1144 Å; angles 90.00, 90.00, 90.00 degrees
With the nearest neighbours (Å) after each atom.
Space group P4/mmm (No. 123)
Unique sites:
Pr1 0.0000 0.0000 0.0000  4 Pr 3.62, 8 Nd 3.86
Nd1 0.5000 0.5000 0.3176  4 Ir 3.05, 1 Nd 3.33
Ir1 0.0000 0.0000 0.5000  8 Nd 3.05

Below is an optimized crystal structure of SrVGe3, with properties calculated at the GGA-PBE level.

Summary:
The value obtained for the total energy is -25.986 eV per cell. Its total magnetization is 0.0 Bohr magnetons per cell. Its formation energy is -0.267 eV per atom. The value obtained for the density of states at the Fermi level is 1.5 states/eV per cell. The crystal system is cubic.

Cell lengths 4.8162, 4.8162, 4.8162 Å; angles 90.00, 90.00, 90.00 degrees
With the nearest neighbours (Å) after each atom.
Space group Pm-3m (No. 221)
Unique sites:
Sr1 0.0000 0.0000 0.0000  12 Ge 3.41
V1 0.5000 0.5000 0.5000  6 Ge 2.41
Ge1 0.0000 0.5000 0.5000  2 V 2.41

Below is an optimized crystal structure of Tb4Y3Sn4, with properties calculated at the GGA-PBE level.

Summary:
The value obtained for the total energy is -119.772 eV per cell. Its total magnetization is 0.0 Bohr magnetons per cell. Its formation energy is -0.542 eV per atom. The value obtained for the density of states at the Fermi level is 23.8 states/eV per cell. The crystal system is orthorhombic.

Cell lengths 3.5592, 9.5726, 18.6894 Å; angles 90.00, 90.00, 90.00 degrees
With the nearest neighbours (Å) after each atom.
Space group Immm (No. 71)
Unique sites:
Tb1 0.0000 0.1808 0.1639  4 Sn 3.20-3.28, 3 Tb 3.46-3.56
Y1 0.0000 0.0000 0.4075  6 Sn 3.10-3.26, 1 Y 3.46
Y2 0.0000 0.5000 0.5000  4 Sn 3.21, 2 Y 3.56
Sn1 0.0000 0.2789 0.0000  2 Tb 3.20, 6 Y 3.21-3.26, 2 Sn 3.56
Sn2 0.0000 0.5000 0.2283  2 Y 3.10, 6 Tb 3.20-3.28

Below is an optimized crystal structure of Mg3Cd2Ag5, with properties calculated at the GGA-PBE level.

Summary:
The value obtained for the total energy is -88.589 eV per cell. Its total magnetization is 0.0 Bohr magnetons per cell. Its formation energy is -0.128 eV per atom. The value obtained for the density of states at the Fermi level is 10.5 states/eV per cell. The crystal system is monoclinic. Its energy above the most stable polymorph in this dataset is 0 meV/atom.

Cell lengths 10.0475, 13.5927, 5.5730 Å; angles 90.00, 92.25, 90.00 degrees
With the nearest neighbours (Å) after each atom.
Space group C2/c (No. 15)
Unique sites:
Mg1 0.0000 0.0405 0.2500  8 Ag 2.80-3.01, 2 Mg 3.00
Mg2 0.1381 0.3589 0.6135  6 Ag 2.79-2.89, 1 Cd 3.11
Cd1 0.1231 0.2543 0.1172  2 Cd 2.91-2.93, 7 Ag 3.04-3.24, 5 Mg 3.11-3.25
Ag1 0.0000 0.4645 0.2500  4 Mg 2.80-2.89, 6 Ag 2.93-3.08
Ag2 0.1192 0.1542 0.6192  4 Mg 2.79-3.01, 3 Ag 2.82-3.05, 3 Cd 3.04-3.11
Ag3 0.2454 0.0415 0.9873  4 Mg 2.81-2.97, 6 Ag 2.82-3.08, 1 Cd 3.14

Below is an optimized crystal structure of Dy2MnRu, with properties calculated at the GGA-PBE level.

Summary:
The value obtained for the total energy is -77.825 eV per cell. Its total magnetization is 9.9 Bohr magnetons per cell. Its formation energy is 0.427 eV per atom. The value obtained for the density of states at the Fermi level is 11.4 states/eV per cell. The crystal system is trigonal.

Cell lengths 3.3219, 3.3219, 29.7563 Å; angles 90.00, 90.00, 120.00 degrees
With the nearest neighbours (Å) after each atom.
Space group R-3m (No. 166, hexagonal axes)
Unique sites:
Dy1 0.0000 0.0000 0.0989  3 Ru 2.78, 1 Mn 2.94
Mn1 0.0000 0.0000 0.0000  2 Dy 2.94
Ru1 0.0000 0.0000 0.5000  6 Dy 2.78

Below is an optimized crystal structure of Ca3CuN3, with properties calculated at the GGA-PBE level.

Summary:
The value obtained for the total energy is -76.489 eV per cell. Its total magnetization is 4.1 Bohr magnetons per cell. The value obtained for the density of states at the Fermi level is 6.1 states/eV per cell. The crystal system is hexagonal. The calculation puts the energy relative to the elements, uncorrected at -452 meV/atom.

Cell lengths 7.1964, 7.1964, 5.0070 Å; angles 90.00, 90.00, 120.00 degrees
With the nearest neighbours (Å) after each atom.
Space group P6_3/m (No. 176)
Unique sites:
Ca1 0.0720 0.3571 0.2500  5 N 2.42-2.58
Cu1 0.3333 0.6667 0.7500  3 N 1.89
N1 0.0860 0.3902 0.7500  1 Cu 1.89

Below is an optimized crystal structure of TiIn, with properties calculated at the GGA-PBE level.

Summary:
The value obtained for the total energy is -18.165 eV per cell. Its total magnetization is 1.5 Bohr magnetons per cell. Its formation energy is 0.775 eV per atom. The value obtained for the density of states at the Fermi level is 5.4 states/eV per cell. The crystal system is hexagonal.

Cell lengths 4.8372, 4.8372, 5.5015 Å; angles 90.00, 90.00, 120.00 degrees
With the nearest neighbours (Å) after each atom.
Space group P6_3/mmc (No. 194)
Unique sites:
Ti1 0.3333 0.6667 0.2500  5 In 2.75-2.79
In1 0.3333 0.6667 0.7500  5 Ti 2.75-2.79

Below is an optimized crystal structure of V2H2Au, with properties calculated at the GGA-PBE level.

Summary:
The value obtained for the total energy is -57.333 eV per cell. Its total magnetization is 0.0 Bohr magnetons per cell. The value obtained for the density of states at the Fermi level is 8.9 states/eV per cell. The crystal system is tetragonal. Its energy above the most stable polymorph in this dataset is 0 meV/atom.

Cell lengths 3.3421, 3.3421, 8.9294 Å; angles 90.00, 90.00, 90.00 degrees
With the nearest neighbours (Å) after each atom.
Space group I4/mmm (No. 139)
Unique sites:
V1 0.0000 0.0000 0.1736  4 H 1.80
H1 0.0000 0.5000 0.2500  4 V 1.80
Au1 0.0000 0.0000 0.5000  8 H 2.79, 10 V 2.83-2.91

Below is an optimized crystal structure of TbSc2Zn4, with properties calculated at the GGA-PBE level.

Summary:
The value obtained for the total energy is -46.572 eV per cell. Its total magnetization is 0.0 Bohr magnetons per cell. Its formation energy is -0.128 eV per atom. The value obtained for the density of states at the Fermi level is 9.1 states/eV per cell. The crystal system is tetragonal.

Cell lengths 4.8591, 4.8591, 12.8520 Å; angles 90.00, 90.00, 90.00 degrees
With the nearest neighbours (Å) after each atom.
Space group I4/mmm (No. 139)
Unique sites:
Tb1 0.0000 0.0000 0.0000  8 Zn 2.93
Sc1 0.0000 0.0000 0.2599  8 Zn 2.83-2.97
Zn1 0.0000 0.5000 0.1270  4 Sc 2.83-2.97, 2 Tb 2.93, 1 Zn 3.16